Record 1
BaPr2Pt after structural relaxation, computed with GGA-PBE.

The symmetry is No. 160. As for the formation energy: -48.4 kJ per mole of atoms. The total energy comes out at -4.88 eV per atom.

Cell: 10.1515 10.1515 10.1515 Å, 24.69 24.69 24.69°
Last column: nearest neighbours and their distance in Å.
Element x y z (fractional)
Ba  0.0000  0.0000  0.0000  6 Pr 4.20-4.28, 6 Ba 4.34
Pr  0.2192  0.2192  0.2192  3 Pt 2.92
Pr  0.4509  0.4509  0.4509  3 Pt 2.92
Pt  0.8349  0.8349  0.8349  6 Pr 2.92

---

Record 2
HfPbO3 after structural relaxation, computed with GGA-PBE.

The symmetry is No. 11. For the formation energy without anion corrections, the calculation gives -2.5426 eV/atom. The total energy comes out at -8.25 eV per atom.

Cell: 5.4030 3.4720 8.4072 Å, 90.00 102.46 90.00°
Last column: nearest neighbours and their distance in Å.
Element x y z (fractional)
Hf  0.2302  0.2500  0.4202  7 O 2.08-2.25
Hf  0.7698  0.7500  0.5798  7 O 2.08-2.25
Pb  0.2159  0.2500  0.8908  4 O 2.30-2.52
Pb  0.7841  0.7500  0.1092  4 O 2.30-2.52
O  0.0416  0.2500  0.6115  3 Hf 2.08-2.25
O  0.0704  0.2500  0.1562  1 Hf 2.20, 2 Pb 2.30
O  0.4394  0.7500  0.3863  3 Hf 2.12-2.14
O  0.5606  0.2500  0.6137  3 Hf 2.12-2.14
O  0.9296  0.7500  0.8438  1 Hf 2.20, 2 Pb 2.30
O  0.9584  0.7500  0.3885  3 Hf 2.08-2.25

---

Record 3
Hg2RhW after structural relaxation, computed with GGA-PBE.

The symmetry is No. 71. As for the formation energy: 60.0 kJ per mole of atoms. The total energy comes out at -4.61 eV per atom.

Cell: 5.7378 5.7378 5.7378 Å, 150.77 127.94 60.82°
Last column: nearest neighbours and their distance in Å.
Element x y z (fractional)
Hg  0.2434  0.2434  0.0000  2 Rh 2.81, 6 Hg 2.90-2.91, 2 W 2.92
Hg  0.7566  0.7566  0.0000  2 Rh 2.81, 6 Hg 2.90-2.91, 2 W 2.92
Rh  0.0000  0.5000  0.5000  4 Hg 2.81, 2 Rh 2.90, 4 W 2.90
W  0.5000  0.0000  0.5000  2 W 2.90, 4 Rh 2.90, 4 Hg 2.92

---

Record 4
RbTb2Th after structural relaxation, computed with GGA-PBE.

The symmetry is No. 166. As for the formation energy: 26.6 kJ per mole of atoms. The total energy comes out at -4.14 eV per atom.

Cell: 13.4652 13.4652 13.4652 Å, 15.56 15.56 15.56°
Last column: nearest neighbours and their distance in Å.
Element x y z (fractional)
Rb  0.0000  0.0000  0.0000  6 Rb 3.65, 2 Tb 3.89
Tb  0.0974  0.0974  0.0974  3 Th 3.47, 6 Tb 3.65, 1 Rb 3.89
Tb  0.9026  0.9026  0.9026  3 Th 3.47, 6 Tb 3.65, 1 Rb 3.89
Th  0.5000  0.5000  0.5000  6 Tb 3.47, 6 Th 3.65